MnGeRhO6 (GGA+U, relaxed); E = -6.650 eV per atom; D(E_F) = 5.3 states/eV/cell; crystal system = tetragonal; mass density = 5.909 g cm⁻³
1.0
4.509 0.000 0.000
0.000 4.509 0.000
0.000 0.000 9.026
Mn Ge Rh O
2 2 2 12
Cartesian
0.000 0.000 0.000 Mn
2.255 2.255 4.513 Mn
0.000 0.000 3.015 Ge
2.255 2.255 7.528 Ge
0.000 0.000 6.021 Rh
2.255 2.255 1.508 Rh
0.853 0.853 1.527 O
0.880 0.880 4.462 O
0.896 0.896 7.574 O
1.358 3.151 3.061 O
1.375 3.134 8.975 O
1.402 3.107 6.040 O
3.107 1.402 6.040 O
3.134 1.375 8.975 O
3.151 1.358 3.061 O
3.613 3.613 7.574 O
3.629 3.629 4.462 O
3.656 3.656 1.527 O